Entry from Alexandria via LeMat-Bulk: a geometry-optimized Ca2TaPt structure (PBEsol).

Calculated volume = 81.5 Å³/cell
Total magnetic moment = 0.001 μB per atom
Crystal system = tetragonal
Offset from the most stable computed form = 0.369 eV/atom
SG = I4/mmm (139)

Lattice parameters (Å, degrees): 5.7628 5.7628 5.7628 139.03 139.03 59.33
With the nearest neighbours (Å) after each atom.
Positions (direct):
Ca 0.2500 0.7500 0.5000  4 Ca 2.85
Ca 0.7500 0.2500 0.5000  4 Ca 2.85
Ta 0.0000 0.0000 0.0000  4 Pt 2.85
Pt 0.5000 0.5000 0.0000  4 Ta 2.85